Compound: CrCdRe2Ru
Source: the Alexandria database
Functional: SCAN
Structure: single point on PBEsol structure

Cell lengths 4.642, 4.642, 4.484 Å; angles 90.00, 90.00, 90.00 degrees
Space group P4/mmm (No. 123)
Asymmetric unit:
Cr: 0.000 0.000 0.000 (multiplicity 1)
Cd: 0.500 0.500 0.000 (multiplicity 1)
Re: 0.000 0.500 0.500 (multiplicity 2)
Ru: 0.000 0.000 0.500 (multiplicity 1)

Properties
The total energy comes out at -43.505 eV per atom. The calculation puts the formation enthalpy at 0 K at 1.659 eV/atom. The calculation puts the total magnetization at 2.79 μB/f.u.